# 1
{
  "formula": "PmSmPt4",
  "functional": "PBE-GGA",
  "state": "relaxed",
  "final_energy_ev_per_atom": -6.6830,
  "sg": "F-43m, No. 216",
  "formation_enthalpy_0k_ev_per_atom": -1.070,
  "lattice_angstrom": [[0.000, 3.875, 3.875], [3.875, 0.000, 3.875], [3.875, 3.875, 0.000]],
  "species": ["Pm", "Sm", "Pt", "Pt", "Pt", "Pt"],
  "fractional_positions": [[0.000, 0.000, 0.000], [0.750, 0.750, 0.750], [0.375, 0.375, 0.375], [0.375, 0.375, 0.875], [0.375, 0.875, 0.375], [0.875, 0.375, 0.375]]
}


# 2
{
  "formula": "CsAcAu",
  "functional": "PBE-GGA",
  "state": "relaxed",
  "final_energy_ev_per_atom": -2.4145,
  "de_polymorph_kj_per_mol_atoms": 0.0,
  "sg": "F-43m, No. 216",
  "lattice_angstrom": [[7.706, 0.000, 0.000], [0.000, 7.706, 0.000], [0.000, 0.000, 7.706]],
  "species": ["Cs", "Cs", "Cs", "Cs", "Ac", "Ac", "Ac", "Ac", "Au", "Au", "Au", "Au"],
  "fractional_positions": [[0.000, 0.000, 0.000], [0.000, 0.500, 0.500], [0.500, 0.000, 0.500], [0.500, 0.500, 0.000], [0.250, 0.250, 0.750], [0.250, 0.750, 0.250], [0.750, 0.250, 0.250], [0.750, 0.750, 0.750], [0.000, 0.000, 0.500], [0.000, 0.500, 0.000], [0.500, 0.000, 0.000], [0.500, 0.500, 0.500]]
}


# 3
{
  "formula": "SrAlW",
  "functional": "PBE-GGA",
  "state": "relaxed",
  "final_energy_ev_per_atom": -4.1461,
  "de_polymorph_kj_per_mol_atoms": 71.2,
  "sg": "F-43m, No. 216",
  "lattice_angstrom": [[7.097, 0.000, 0.000], [0.000, 7.097, 0.000], [0.000, 0.000, 7.097]],
  "species": ["Sr", "Sr", "Sr", "Sr", "Al", "Al", "Al", "Al", "W", "W", "W", "W"],
  "fractional_positions": [[0.000, 0.000, 0.000], [0.000, 0.500, 0.500], [0.500, 0.000, 0.500], [0.500, 0.500, 0.000], [0.250, 0.250, 0.750], [0.250, 0.750, 0.250], [0.750, 0.250, 0.250], [0.750, 0.750, 0.750], [0.250, 0.250, 0.250], [0.250, 0.750, 0.750], [0.750, 0.250, 0.750], [0.750, 0.750, 0.250]]
}


# 4
{
  "formula": "Gd3Zr4",
  "functional": "PBE-GGA",
  "state": "relaxed",
  "final_energy_ev_per_atom": -6.8003,
  "de_polymorph_kj_per_mol_atoms": 0.0,
  "sg": "P6_3/m, No. 176",
  "formation_enthalpy_0k_ev_per_atom": 0.078,
  "lattice_angstrom": [[8.991, 0.000, 0.000], [-4.495, 7.786, 0.000], [0.000, 0.000, 5.335]],
  "species": ["Gd", "Gd", "Gd", "Gd", "Gd", "Gd", "Zr", "Zr", "Zr", "Zr", "Zr", "Zr", "Zr", "Zr"],
  "fractional_positions": [[0.057, 0.800, 0.250], [0.200, 0.257, 0.250], [0.257, 0.057, 0.750], [0.743, 0.943, 0.250], [0.800, 0.743, 0.750], [0.943, 0.200, 0.750], [0.107, 0.608, 0.750], [0.333, 0.667, 0.250], [0.392, 0.500, 0.750], [0.500, 0.107, 0.250], [0.500, 0.893, 0.750], [0.608, 0.500, 0.250], [0.667, 0.333, 0.750], [0.893, 0.392, 0.250]]
}


# 5
{
  "formula": "DySbPO",
  "functional": "PBE-GGA",
  "state": "relaxed",
  "final_energy_ev_per_atom": -5.7397,
  "de_polymorph_kj_per_mol_atoms": 32.8,
  "sg": "P4/nmm, No. 129",
  "lattice_angstrom": [[5.436, 0.000, 0.000], [0.000, 5.436, 0.000], [0.000, 0.000, 5.237]],
  "species": ["Dy", "Dy", "Sb", "Sb", "P", "P", "O", "O"],
  "fractional_positions": [[0.250, 0.750, 0.000], [0.750, 0.250, 0.000], [0.250, 0.250, 0.497], [0.750, 0.750, 0.503], [0.250, 0.250, 0.993], [0.750, 0.750, 0.007], [0.250, 0.750, 0.500], [0.750, 0.250, 0.500]]
}


# 6
{
  "formula": "BaHg2Mo",
  "functional": "PBE-GGA",
  "state": "relaxed",
  "final_energy_ev_per_atom": -2.6899,
  "sg": "F-43m, No. 216",
  "lattice_angstrom": [[7.571, 0.000, 0.000], [0.000, 7.571, 0.000], [0.000, 0.000, 7.571]],
  "species": ["Ba", "Ba", "Ba", "Ba", "Hg", "Hg", "Hg", "Hg", "Hg", "Hg", "Hg", "Hg", "Mo", "Mo", "Mo", "Mo"],
  "fractional_positions": [[0.000, 0.000, 0.000], [0.000, 0.500, 0.500], [0.500, 0.000, 0.500], [0.500, 0.500, 0.000], [0.000, 0.000, 0.500], [0.000, 0.500, 0.000], [0.250, 0.250, 0.750], [0.250, 0.750, 0.250], [0.500, 0.000, 0.000], [0.500, 0.500, 0.500], [0.750, 0.250, 0.250], [0.750, 0.750, 0.750], [0.250, 0.250, 0.250], [0.250, 0.750, 0.750], [0.750, 0.250, 0.750], [0.750, 0.750, 0.250]]
}


# 7
{
  "formula": "PmHgTe",
  "functional": "PBE-GGA",
  "state": "relaxed",
  "final_energy_ev_per_atom": -3.2447,
  "sg": "F-43m, No. 216",
  "lattice_angstrom": [[7.403, 0.000, 0.000], [0.000, 7.403, 0.000], [0.000, 0.000, 7.403]],
  "species": ["Pm", "Pm", "Pm", "Pm", "Hg", "Hg", "Hg", "Hg", "Te", "Te", "Te", "Te"],
  "fractional_positions": [[0.000, 0.000, 0.000], [0.000, 0.500, 0.500], [0.500, 0.000, 0.500], [0.500, 0.500, 0.000], [0.000, 0.000, 0.500], [0.000, 0.500, 0.000], [0.500, 0.000, 0.000], [0.500, 0.500, 0.500], [0.250, 0.250, 0.750], [0.250, 0.750, 0.250], [0.750, 0.250, 0.250], [0.750, 0.750, 0.750]]
}


# 8
{
  "formula": "Ta4Tl3W2N3",
  "functional": "PBE-GGA",
  "state": "relaxed",
  "final_energy_ev_per_atom": -8.7895,
  "sg": "C2/c, No. 15",
  "lattice_angstrom": [[4.881, -2.778, 0.000], [4.881, 2.778, 0.000], [-3.039, 0.000, 14.009]],
  "species": ["Ta", "Ta", "Ta", "Ta", "Ta", "Ta", "Ta", "Ta", "Tl", "Tl", "Tl", "Tl", "Tl", "Tl", "W", "W", "W", "W", "N", "N", "N", "N", "N", "N"],
  "fractional_positions": [[0.003, 0.216, 0.079], [0.166, 0.306, 0.421], [0.216, 0.003, 0.579], [0.306, 0.166, 0.921], [0.694, 0.834, 0.079], [0.784, 0.997, 0.421], [0.834, 0.694, 0.579], [0.997, 0.784, 0.921], [0.088, 0.912, 0.250], [0.250, 0.417, 0.745], [0.417, 0.250, 0.245], [0.583, 0.750, 0.755], [0.750, 0.583, 0.255], [0.912, 0.088, 0.750], [0.384, 0.529, 0.078], [0.471, 0.616, 0.422], [0.529, 0.384, 0.578], [0.616, 0.471, 0.922], [0.000, 0.500, 0.000], [0.147, 0.677, 0.501], [0.323, 0.853, 0.999], [0.500, 0.000, 0.500], [0.677, 0.147, 0.001], [0.853, 0.323, 0.499]]
}